# 1
The following is a PBEsol calculation of an optimized crystal structure of ScHgP2Cl, from Alexandria via LeMat-Bulk.

It has space group P4/mmm (No. 123), with a = 4.8363 Å, b = 4.8363 Å, c = 5.1091 Å, α = 90.00°, β = 90.00° and γ = 90.00°. Symmetry generates all atoms from Sc at (0.0000, 0.0000, 0.0000), Hg at (0.5000, 0.5000, 0.5000), P at (0.0000, 0.5000, 0.5000) and Cl at (0.5000, 0.5000, 0.0000).

As for the crystal system: tetragonal. For the energy relative to the elements, uncorrected, the calculation gives 0.491 eV per atom.


# 2
The following is a PBEsol calculation of an optimized crystal structure of LiInAg2, from Alexandria via LeMat-Bulk.

It has space group P4mm (No. 99), with a = 3.3954 Å, b = 3.3954 Å, c = 6.0110 Å, α = 90.00°, β = 90.00° and γ = 90.00°. Symmetry generates all atoms from Li at (0.0000, 0.0000, 0.0000), In at (0.5000, 0.5000, 0.7330), Ag at (0.0000, 0.0000, 0.4701) and Ag at (0.5000, 0.5000, 0.2168).

For the formation energy from the elements, the calculation gives -0.171 eV/atom. As for the crystal system: tetragonal.


# 3
The following is a PBEsol calculation of an optimized crystal structure of Sr2NbN3, from Alexandria via LeMat-Bulk.

It has space group C2/c (No. 15), with a = 6.0045 Å, b = 11.1698 Å, c = 12.4982 Å, α = 90.00°, β = 92.73° and γ = 90.00°. Symmetry generates all atoms from Sr at (0.2278, 0.1154, 0.4224), Sr at (0.2396, 0.2024, 0.8578), Nb at (0.2311, 0.4987, 0.3366), N at (0.0000, 0.0045, 0.7500), N at (0.0000, 0.4068, 0.7500), N at (0.1599, 0.3370, 0.3768) and N at (0.2056, 0.0932, 0.0391).

As for the crystal system: monoclinic. For the energy relative to the elements, uncorrected, the calculation gives -1.146 eV per atom.


# 4
The following is a PBEsol calculation of an optimized crystal structure of AlGeO2, from Alexandria via LeMat-Bulk.

It has space group R-3m (No. 166, hexagonal axes), with a = 3.1172 Å, b = 3.1172 Å, c = 18.0171 Å, α = 90.00°, β = 90.00° and γ = 120.00°. Symmetry generates all atoms from Al at (0.0000, 0.0000, 0.0000), Ge at (0.0000, 0.0000, 0.5000) and O at (0.0000, 0.0000, 0.1037).

As for the crystal system: trigonal. For the energy relative to the elements, uncorrected, the calculation gives -1.090 eV per atom.


# 5
The following is a PBEsol calculation of an optimized crystal structure of HfAsBr3, from Alexandria via LeMat-Bulk.

It has space group Pm-3m (No. 221), with a = 5.2143 Å, b = 5.2143 Å, c = 5.2143 Å, α = 90.00°, β = 90.00° and γ = 90.00°. Symmetry generates all atoms from Hf at (0.0000, 0.0000, 0.0000), As at (0.5000, 0.5000, 0.5000) and Br at (0.0000, 0.0000, 0.5000).

As for the crystal system: cubic. For the energy relative to the elements, uncorrected, the calculation gives -0.197 eV per atom.


# 6
The following is a PBEsol calculation of an optimized crystal structure of Eu2AgPb, from Alexandria via LeMat-Bulk.

It has space group Fm-3m (No. 225), with a = 7.6326 Å, b = 7.6326 Å, c = 7.6326 Å, α = 90.00°, β = 90.00° and γ = 90.00°. Symmetry generates all atoms from Eu at (0.2500, 0.2500, 0.2500), Ag at (0.0000, 0.0000, 0.0000) and Pb at (0.0000, 0.0000, 0.5000).

For the formation energy from the elements, the calculation gives -0.456 eV/atom. As for the crystal system: cubic.


no.,ρ (g cm⁻³)
1,4.77
2,8.09
3,4.92
4,4.32
5,5.78
6,9.25